No. 1
Entry from the Alexandria database: a relaxed CuOs2RhCl crystal (PBEsol).

Values from the calculation:
Crystal system: tetragonal
Density of states at the Fermi level (states/eV per atom): 1.433
Calculated total energy (eV per atom): -5.42
Uncorrected formation energy (eV per formula unit): 11.799

a = 4.517 Å, b = 4.517 Å, c = 4.559 Å
α = 90.00°, β = 90.00°, γ = 90.00°
Each line ends with the local moment (μB).
Fractional coordinates of all 5 atoms:
Rh: 0.000 0.000 0.500  1.01
Os: 0.000 0.500 0.000  2.01
Os: 0.500 0.000 0.000  2.01
Cu: 0.000 0.000 0.000  0.21
Cl: 0.500 0.500 0.500  0.29

=====

No. 2
Entry from the Alexandria database: a relaxed Cr2ReNi crystal (PBEsol).

Values from the calculation:
Crystal system: tetragonal
Density of states at the Fermi level (states/eV per atom): 0.784
Calculated total energy (eV per atom): -9.94

a = 3.581 Å, b = 3.634 Å, c = 3.634 Å
α = 90.00°, β = 90.00°, γ = 90.00°
Fractional coordinates of all 4 atoms:
Re: 0.500 0.000 0.000
Ni: 0.500 0.500 0.500
Cr: 0.000 0.000 0.500
Cr: 0.000 0.500 0.000

=====

No. 3
Entry from the Alexandria database: a relaxed Dy3Mg2VS8 crystal (PBEsol).

Values from the calculation:
Crystal system: trigonal
Density of states at the Fermi level (states/eV per atom): 0.457
Calculated total energy (eV per atom): -6.14
Uncorrected formation energy (eV per formula unit): -22.822

a = 7.584 Å, b = 7.584 Å, c = 7.584 Å
α = 61.05°, β = 61.05°, γ = 61.05°
Each line ends with the local moment (μB).
Fractional coordinates of all 14 atoms:
Dy: 0.500 0.000 0.500  0.01
Dy: 0.000 0.500 0.500  0.01
Dy: 0.500 0.500 0.000  0.01
Mg: 0.876 0.876 0.876  0.01
Mg: 0.124 0.124 0.124  0.01
V: 0.500 0.500 0.500  1.79
S: 0.730 0.271 0.730  -0.02
S: 0.729 0.270 0.270  -0.02
S: 0.254 0.254 0.254  0.00
S: 0.270 0.270 0.729  -0.02
S: 0.746 0.746 0.746  0.00
S: 0.730 0.730 0.271  -0.02
S: 0.270 0.729 0.270  -0.02
S: 0.271 0.730 0.730  -0.02

=====

No. 4
Entry from the Alexandria database: a relaxed TaI2BrN crystal (PBEsol).

Values from the calculation:
Crystal system: tetragonal
Density of states at the Fermi level (states/eV per atom): 1.300
Calculated total energy (eV per atom): -5.24
Uncorrected formation energy (eV per formula unit): 0.265

a = 3.898 Å, b = 5.606 Å, c = 5.606 Å
α = 90.00°, β = 90.00°, γ = 90.00°
Fractional coordinates of all 5 atoms:
I: 0.000 0.000 0.500
I: 0.000 0.500 0.000
N: 0.500 0.000 0.000
Br: 0.500 0.500 0.500
Ta: 0.000 0.000 0.000

=====

- The lowest calculated total energy belongs to which entry?
  Cr2ReNi